# AlCdB3

A geometry-optimized AlCdB3 structure (GGA-PBE, Alexandria via LeMat-Bulk).

Geometry as POSCAR:
```
AlCdB3
1.0
4.215 0.000 0.000
0.000 4.215 0.000
0.000 0.000 4.215
Al Cd B
1 1 3
Direct
0.000 0.000 0.000 Al
0.500 0.500 0.500 Cd
0.000 0.000 0.500 B
0.000 0.500 0.000 B
0.500 0.000 0.000 B
```

Results
- formation enthalpy at 0 K (eV/atom) = 1.67
- relative energy among the computed polymorphs (eV per formula unit) = 0.00
- N(E_F) (states/eV/atom) = 0.603
- SG = Pm-3m
- M_tot (μB/atom) = 0.00
- total DFT energy (no corrections) (Ha/atom) = -0.120

***

# YTaPb

A geometry-optimized YTaPb structure (GGA-PBE, Alexandria via LeMat-Bulk).

Geometry as POSCAR:
```
YTaPb
1.0
5.142 0.000 0.000
-2.571 4.453 0.000
0.000 0.000 3.238
Y Ta Pb
1 1 1
Direct
0.000 0.000 0.000 Y
0.333 0.667 0.500 Ta
0.667 0.333 0.500 Pb
```

Results
- formation enthalpy at 0 K (eV/atom) = 0.35
- relative energy among the computed polymorphs (eV per formula unit) = 0.40
- N(E_F) (states/eV/atom) = 1.297
- SG = P-6m2
- M_tot (μB/atom) = 0.36
- total DFT energy (no corrections) (Ha/atom) = -0.257

***

# Ta2OsW

A geometry-optimized Ta2OsW structure (GGA-PBE, Alexandria via LeMat-Bulk).

Geometry as POSCAR:
```
Ta2OsW
1.0
2.791 -4.464 0.000
2.791 4.464 0.000
-0.997 0.000 2.655
Ta Os W
2 1 1
Direct
0.000 0.500 0.000 Ta
0.500 0.000 0.000 Ta
0.000 0.000 0.500 Os
0.500 0.500 0.500 W
```

Results
- formation enthalpy at 0 K (eV/atom) = -0.14
- relative energy among the computed polymorphs (eV per formula unit) = 0.65
- N(E_F) (states/eV/atom) = 0.593
- SG = C2/m
- M_tot (μB/atom) = 0.00
- total DFT energy (no corrections) (Ha/atom) = -0.445

***

# Ti6TlO

A geometry-optimized Ti6TlO structure (GGA-PBE, Alexandria via LeMat-Bulk).

Geometry as POSCAR:
```
Ti6TlO
1.0
4.057 2.342 2.291
-4.057 2.342 2.291
0.000 -4.685 2.291
Ti Tl O
6 1 1
Direct
0.221 0.221 0.610 Ti
0.221 0.610 0.221 Ti
0.390 0.779 0.779 Ti
0.610 0.221 0.221 Ti
0.779 0.390 0.779 Ti
0.779 0.779 0.390 Ti
0.000 0.000 0.000 Tl
0.500 0.500 0.500 O
```

Results
- raw formation energy (eV per atom) = -0.620
- N(E_F) (states/eV/atom) = 0.411
- SG = R-3m
- M_tot (μB/atom) = 0.00
- total DFT energy (no corrections) (Ha/atom) = -0.274

***

# Tb2Al2Os2C

A geometry-optimized Tb2Al2Os2C structure (GGA-PBE, Alexandria via LeMat-Bulk).

Geometry as POSCAR:
```
Tb2Al2Os2C
1.0
5.626 -2.078 0.000
5.626 2.078 0.000
-4.510 0.000 5.518
Tb Al Os C
2 2 2 1
Direct
0.061 0.061 0.332 Tb
0.939 0.939 0.668 Tb
0.346 0.346 0.893 Al
0.654 0.654 0.107 Al
0.301 0.301 0.197 Os
0.699 0.699 0.803 Os
0.500 0.500 0.500 C
```

Results
- formation enthalpy at 0 K (eV/atom) = -0.46
- N(E_F) (states/eV/atom) = 0.471
- SG = C2/m
- M_tot (μB/atom) = 0.00
- total DFT energy (no corrections) (Ha/atom) = -0.271

***

# LiCaTlBr4

A geometry-optimized LiCaTlBr4 structure (GGA-PBE, Alexandria via LeMat-Bulk).

Geometry as POSCAR:
```
LiCaTlBr4
1.0
7.113 0.000 0.000
0.000 7.428 0.000
-2.836 0.000 8.564
Li Ca Tl Br
2 2 2 8
Direct
0.241 0.250 0.321 Li
0.759 0.750 0.679 Li
0.210 0.750 0.551 Ca
0.790 0.250 0.449 Ca
0.252 0.750 0.058 Tl
0.748 0.250 0.942 Tl
0.007 0.001 0.710 Br
0.007 0.499 0.710 Br
0.458 0.250 0.154 Br
0.477 0.250 0.590 Br
0.523 0.750 0.410 Br
0.542 0.750 0.846 Br
0.993 0.501 0.290 Br
0.993 0.999 0.290 Br
```

Results
- raw formation energy (eV per atom) = -1.522
- N(E_F) (states/eV/atom) = 0.000
- SG = P2_1/m
- M_tot (μB/atom) = 0.00
- total DFT energy (no corrections) (Ha/atom) = -0.124

***

# Ba2MgSnN

A geometry-optimized Ba2MgSnN structure (GGA-PBE, Alexandria via LeMat-Bulk).

Geometry as POSCAR:
```
Ba2MgSnN
1.0
5.977 0.000 0.000
0.000 5.977 0.000
0.000 0.000 4.136
Ba Mg Sn N
2 1 1 1
Direct
0.000 0.500 0.000 Ba
0.500 0.000 0.000 Ba
0.000 0.000 0.500 Mg
0.500 0.500 0.500 Sn
0.000 0.000 0.000 N
```

Results
- raw formation energy (eV per atom) = -0.463
- N(E_F) (states/eV/atom) = 0.674
- SG = P4/mmm
- M_tot (μB/atom) = 0.00
- total DFT energy (no corrections) (Ha/atom) = -0.148

***

# CeLu2Pa

A geometry-optimized CeLu2Pa structure (GGA-PBE, Alexandria via LeMat-Bulk).

Geometry as POSCAR:
```
CeLu2Pa
1.0
4.700 0.000 0.000
0.000 4.700 0.000
0.000 0.000 4.998
Ce Lu Pa
1 2 1
Direct
0.000 0.000 0.000 Ce
0.000 0.500 0.500 Lu
0.500 0.000 0.500 Lu
0.500 0.500 0.000 Pa
```

Results
- formation enthalpy at 0 K (eV/atom) = 0.19
- relative energy among the computed polymorphs (eV per formula unit) = 0.17
- N(E_F) (states/eV/atom) = 2.357
- SG = P4/mmm
- M_tot (μB/atom) = 0.20
- total DFT energy (no corrections) (Ha/atom) = -0.218